Material: SiH3NO
Method: DFT, GGA-PBE
State: optimized geometry

Results
As for the relative energy among the computed polymorphs: 0.000 eV per atom.

Unit cell a=15.117 b=2.956 c=2.859 alpha=90.00 beta=97.52 gamma=90.00
Space group Cm (No. 8)
Symmetry-distinct sites (fractional):
Si (0.000, 0.000, 0.000)
H (0.228, 0.500, 0.399)
H (0.260, 0.500, 0.221)
H (0.395, 0.000, 0.651)
N (0.437, 0.000, 0.965)
O (0.058, 0.000, 0.535)

=====

Material: SiH3NO
Method: DFT, GGA-PBE
State: optimized geometry

Results
As for the relative energy among the computed polymorphs: 0.242 eV per atom.

Unit cell a=2.955 b=4.784 c=5.025 alpha=73.12 beta=77.64 gamma=73.74
Space group P1 (No. 1)
Symmetry-distinct sites (fractional):
Si (0.000, 0.000, 0.000)
H (0.073, 0.939, 0.455)
H (0.319, 0.473, 0.920)
H (0.498, 0.299, 0.654)
N (0.434, 0.263, 0.870)
O (0.820, 0.041, 0.338)

=====

Material: SiH3NO
Method: DFT, GGA-PBE
State: optimized geometry

Results
As for the relative energy among the computed polymorphs: 0.094 eV per atom.

Unit cell a=9.761 b=3.420 c=3.248 alpha=90.00 beta=104.49 gamma=90.00
Space group Cm (No. 8)
Symmetry-distinct sites (fractional):
Si (0.000, 0.000, 0.000)
H (0.160, 0.000, 0.119)
H (0.329, 0.262, 0.368)
N (0.395, 0.500, 0.422)
O (0.494, 0.000, 0.996)

=====

Material: SiHN2O
Method: DFT, GGA-PBE
State: optimized geometry

Results
The calculation puts the total energy at -23.8 eV for the cell shown.

Unit cell a=2.838 b=2.838 c=4.790 alpha=90.00 beta=90.00 gamma=90.00
Space group P4/mmm (No. 123)
Symmetry-distinct sites (fractional):
Si (0.000, 0.000, 0.000)
H (0.500, 0.500, 0.500)
N (0.000, 0.500, 0.500)
O (0.500, 0.500, 0.000)

=====

Material: SiH3NO
Method: DFT, GGA-PBE
State: optimized geometry

Results
As for the relative energy among the computed polymorphs: 0.014 eV per atom.

Unit cell a=4.815 b=2.780 c=7.729 alpha=90.00 beta=98.95 gamma=90.00
Space group Cm (No. 8)
Symmetry-distinct sites (fractional):
Si (0.000, 0.000, 0.000)
H (0.231, 0.500, 0.255)
H (0.372, 0.000, 0.562)
H (0.443, 0.000, 0.482)
N (0.197, 0.500, 0.121)
O (0.302, 0.000, 0.876)

=====

Material: SiH3NO
Method: DFT, GGA-PBE
State: optimized geometry

Results
As for the relative energy among the computed polymorphs: 0.044 eV per atom.

Unit cell a=2.947 b=4.715 c=5.010 alpha=62.78 beta=73.11 gamma=89.21
Space group P1 (No. 1)
Symmetry-distinct sites (fractional):
Si (0.000, 0.000, 0.000)
H (0.653, 0.442, 0.674)
H (0.762, 0.046, 0.471)
H (0.999, 0.677, 0.018)
N (0.592, 0.194, 0.805)
O (0.814, 0.897, 0.380)